No. 1
This record from OQMD describes crystalline BaGaPbAu2 at its relaxed geometry. The functional is PBE.

```
BaGaPbAu2
1.0
4.895 0.000 0.000
0.000 4.895 0.000
0.000 0.000 11.032
Ba Ga Pb Au
2 2 2 4
direct
0.250 0.250 0.233 Ba
0.750 0.750 0.767 Ba
0.250 0.250 0.901 Ga
0.750 0.750 0.099 Ga
0.250 0.750 0.500 Pb
0.750 0.250 0.500 Pb
0.250 0.250 0.668 Au
0.250 0.750 0.000 Au
0.750 0.250 0.000 Au
0.750 0.750 0.332 Au
```

The value obtained for the density is 10.15 g/cm3. The total energy is -3.5830 eV/atom.

---

No. 2
This record from OQMD describes crystalline BaGa2PdAu at its relaxed geometry. The functional is PBE.

```
BaGa2PdAu
1.0
4.649 0.000 0.000
0.000 4.649 0.000
0.000 0.000 10.498
Ba Ga Pd Au
2 4 2 2
direct
0.250 0.250 0.247 Ba
0.750 0.750 0.753 Ba
0.250 0.250 0.630 Ga
0.250 0.750 0.000 Ga
0.750 0.250 0.000 Ga
0.750 0.750 0.370 Ga
0.250 0.250 0.881 Pd
0.750 0.750 0.119 Pd
0.250 0.750 0.500 Au
0.750 0.250 0.500 Au
```

The value obtained for the density is 8.49 g/cm3. The relative energy among the computed polymorphs comes out at 0.0284 eV per atom.

---

No. 3
This record from OQMD describes crystalline BaGa2PdAu at its relaxed geometry. The functional is PBE.

```
BaGa2PdAu
1.0
4.633 0.000 0.000
0.000 4.633 0.000
0.000 0.000 10.613
Ba Ga Pd Au
2 4 2 2
direct
0.250 0.250 0.244 Ba
0.750 0.750 0.756 Ba
0.250 0.250 0.893 Ga
0.250 0.750 0.500 Ga
0.750 0.250 0.500 Ga
0.750 0.750 0.107 Ga
0.250 0.750 0.000 Pd
0.750 0.250 0.000 Pd
0.250 0.250 0.632 Au
0.750 0.750 0.368 Au
```

The value obtained for the density is 8.46 g/cm3. The relative energy among the computed polymorphs comes out at 0.0000 eV per atom.

---

No. 4
This record from OQMD describes crystalline BaGaPt3Au at its relaxed geometry. The functional is PBE.

```
BaGaPt3Au
1.0
5.841 0.000 0.000
-2.921 5.059 0.000
0.000 0.000 4.172
Ba Ga Pt Au
1 1 3 1
direct
0.000 0.000 0.000 Ba
0.667 0.333 0.000 Ga
0.506 0.011 0.500 Pt
0.506 0.494 0.500 Pt
0.989 0.494 0.500 Pt
0.333 0.667 0.000 Au
```

The calculation puts the size of the total moment at 0.000 μB per cell. The value obtained for the density is 13.33 g/cm3. The total energy is -5.0414 eV/atom.

---

No. 5
This record from OQMD describes crystalline BaGa2PtAu at its relaxed geometry. The functional is PBE.

```
BaGa2PtAu
1.0
4.645 0.000 0.000
0.000 4.645 0.000
0.000 0.000 10.450
Ba Ga Pt Au
2 4 2 2
direct
0.250 0.250 0.246 Ba
0.750 0.750 0.754 Ba
0.250 0.250 0.633 Ga
0.250 0.750 0.000 Ga
0.750 0.250 0.000 Ga
0.750 0.750 0.367 Ga
0.250 0.250 0.881 Pt
0.750 0.750 0.119 Pt
0.250 0.750 0.500 Au
0.750 0.250 0.500 Au
```

The calculation puts the size of the total moment at 0.005 μB per cell. The value obtained for the density is 9.85 g/cm3. The total energy is -4.1586 eV/atom.

---

No. 6
This record from OQMD describes crystalline BaGaSnAu2 at its relaxed geometry. The functional is PBE.

```
BaGaSnAu2
1.0
4.807 0.000 0.000
0.000 4.807 0.000
0.000 0.000 10.978
Ba Ga Sn Au
2 2 2 4
direct
0.250 0.250 0.245 Ba
0.750 0.750 0.755 Ba
0.250 0.750 0.000 Ga
0.750 0.250 0.000 Ga
0.250 0.250 0.634 Sn
0.750 0.750 0.366 Sn
0.250 0.250 0.890 Au
0.250 0.750 0.500 Au
0.750 0.250 0.500 Au
0.750 0.750 0.110 Au
```

The value obtained for the density is 9.42 g/cm3. The relative energy among the computed polymorphs comes out at 0.0057 eV per atom.

---

No. 7
This record from OQMD describes crystalline BaGaSnAu2 at its relaxed geometry. The functional is PBE.

```
BaGaSnAu2
1.0
4.847 0.000 0.000
0.000 4.847 0.000
0.000 0.000 10.787
Ba Ga Sn Au
2 2 2 4
direct
0.250 0.250 0.238 Ba
0.750 0.750 0.762 Ba
0.250 0.250 0.891 Ga
0.750 0.750 0.109 Ga
0.250 0.750 0.500 Sn
0.750 0.250 0.500 Sn
0.250 0.250 0.648 Au
0.250 0.750 0.000 Au
0.750 0.250 0.000 Au
0.750 0.750 0.352 Au
```

The value obtained for the density is 9.43 g/cm3. The relative energy among the computed polymorphs comes out at 0.0000 eV per atom.

---

No. 8
This record from OQMD describes crystalline BaSrGaAu at its relaxed geometry. The functional is PBE.

```
BaSrGaAu
1.0
0.000 3.971 3.971
3.971 0.000 3.971
3.971 3.971 0.000
Ba Sr Ga Au
1 1 1 1
direct
0.000 0.000 0.000 Ba
0.500 0.500 0.500 Sr
0.750 0.750 0.750 Ga
0.250 0.250 0.250 Au
```

The value obtained for the density is 6.52 g/cm3. The relative energy among the computed polymorphs comes out at 0.0000 eV per atom.

---

No. 9
This record from OQMD describes crystalline BaSrGaAu at its relaxed geometry. The functional is PBE.

```
BaSrGaAu
1.0
0.000 3.805 3.805
3.805 0.000 3.805
3.805 3.805 0.000
Ba Sr Ga Au
1 1 1 1
direct
0.000 0.000 0.000 Ba
0.250 0.250 0.250 Sr
0.500 0.500 0.500 Ga
0.750 0.750 0.750 Au
```

The value obtained for the density is 7.41 g/cm3. The relative energy among the computed polymorphs comes out at 0.1988 eV per atom.

---

No. 10
This record from OQMD describes crystalline BaYGa4Au2 at its relaxed geometry. The functional is PBE.

```
BaYGa4Au2
1.0
6.854 0.000 0.000
0.000 2.360 5.368
0.000 -2.360 5.368
Ba Y Ga Au
1 1 4 2
direct
0.000 0.000 0.000 Ba
0.500 0.196 0.196 Y
0.204 0.712 0.712 Ga
0.312 0.468 0.468 Ga
0.688 0.468 0.468 Ga
0.796 0.712 0.712 Ga
0.000 0.292 0.292 Au
0.500 0.894 0.894 Au
```

The calculation puts the size of the total moment at 0.002 μB per cell. The value obtained for the density is 8.60 g/cm3. The total energy is -3.9007 eV/atom.

---

No. 11
This record from OQMD describes crystalline BaZnGaAu at its relaxed geometry. The functional is PBE.

```
BaZnGaAu
1.0
0.000 3.707 3.707
3.707 0.000 3.707
3.707 3.707 0.000
Ba Zn Ga Au
1 1 1 1
direct
0.000 0.000 0.000 Ba
0.500 0.500 0.500 Zn
0.750 0.750 0.750 Ga
0.250 0.250 0.250 Au
```

The value obtained for the density is 7.65 g/cm3. The relative energy among the computed polymorphs comes out at 0.0439 eV per atom.

---

No. 12
This record from OQMD describes crystalline BaZnGaAu at its relaxed geometry. The functional is PBE.

```
BaZnGaAu
1.0
0.000 3.717 3.717
3.717 0.000 3.717
3.717 3.717 0.000
Ba Zn Ga Au
1 1 1 1
direct
0.000 0.000 0.000 Ba
0.250 0.250 0.250 Zn
0.500 0.500 0.500 Ga
0.750 0.750 0.750 Au
```

The value obtained for the density is 7.59 g/cm3. The relative energy among the computed polymorphs comes out at 0.0000 eV per atom.